AcPdAu3 | PBE | optimized geometry

a b c (Å): 5.045 9.468 9.434
angles (deg): 90.00 90.00 90.00
Sites, in units of the cell vectors:
Au (0.750, 0.608, 0.648)
Au (0.250, 0.392, 0.352)
Pd (0.750, 0.395, 0.151)
Au (0.250, 0.402, 0.656)
Ac (0.750, 0.245, 0.508)
Pd (0.250, 0.605, 0.849)
Au (0.750, 0.411, 0.855)
Pd (0.750, 0.895, 0.349)
Au (0.750, 0.911, 0.645)
Au (0.250, 0.089, 0.355)
Au (0.250, 0.902, 0.844)
Ac (0.250, 0.755, 0.492)
Au (0.750, 0.108, 0.852)
Ac (0.250, 0.255, 0.008)
Pd (0.250, 0.105, 0.651)
Au (0.250, 0.589, 0.145)
Ac (0.750, 0.745, 0.992)
Au (0.750, 0.098, 0.156)
Au (0.750, 0.598, 0.344)
Au (0.250, 0.892, 0.148)

E_form = -0.58 eV/atom
total energy = -4.404 eV/atom
ΔE to the lowest computed polymorph = 6 kJ/mol of formula units